LuBeReTe: relaxed, PBE.

a = 4.6530 Å, b = 4.6530 Å, c = 4.6530 Å
α = 60.00°, β = 60.00°, γ = 60.00°
Positions (direct):
Be 0.7500 0.7500 0.7500
Lu 0.5000 0.5000 0.5000
Re 0.2500 0.2500 0.2500
Te 0.0000 0.0000 0.0000

Results
Volume: 71.23 Å³/cell
Uncorrected energy: -5.483 eV/atom



GdY2Ag4Ge4: relaxed, PBE.

a = 8.3889 Å, b = 8.3889 Å, c = 8.3889 Å
α = 150.01°, β = 129.37°, γ = 59.97°
Positions (direct):
Ag 0.6324 0.3301 0.3023
Ag 0.9722 0.6699 0.3023
Ag 0.0278 0.3301 0.6977
Ag 0.3676 0.6699 0.6977
Gd 0.0000 0.0000 0.0000
Ge 0.2166 0.2166 0.0000
Ge 0.7834 0.7834 0.0000
Ge 0.6831 0.5000 0.1831
Ge 0.3169 0.5000 0.8169
Y 0.6256 0.1256 0.5000
Y 0.3744 0.8744 0.5000

Results
Volume: 226.30 Å³/cell
Uncorrected energy: -4.849 eV/atom



Gd2Lu5Ga: relaxed, PBE.

a = 5.4201 Å, b = 6.9426 Å, c = 6.9426 Å
α = 59.80°, β = 90.00°, γ = 90.00°
Positions (direct):
Ga 0.0000 0.1635 0.1635
Gd 0.5000 0.3274 0.3274
Gd 0.0000 0.6712 0.6712
Lu 0.0000 0.6733 0.1599
Lu 0.5000 0.8407 0.3293
Lu 0.0000 0.1599 0.6733
Lu 0.5000 0.8347 0.8347
Lu 0.5000 0.3293 0.8407

Results
Volume: 225.78 Å³/cell
Uncorrected energy: -4.428 eV/atom



La2Dy2CIBr4: relaxed, PBE.

a = 9.2898 Å, b = 9.2898 Å, c = 9.0549 Å
α = 102.75°, β = 102.75°, γ = 24.81°
Positions (direct):
Br 0.8245 0.8245 0.1380
Br 0.1711 0.1711 0.3006
Br 0.8289 0.8289 0.6994
Br 0.1755 0.1755 0.8620
C 0.5000 0.5000 0.0000
Dy 0.6364 0.6364 0.0664
Dy 0.3636 0.3636 0.9336
I 0.5000 0.5000 0.5000
La 0.9989 0.9989 0.1968
La 0.0011 0.0011 0.8032

Results
Volume: 319.40 Å³/cell
Uncorrected energy: -5.042 eV/atom